Below is a geometry-optimized BaPRh2I structure, with properties calculated at the PBE level.

Summary:
Symmetry = No. 123
Formation energy (no corrections) = 708 meV/atom
D(E_F) = 7.58 states/eV/f.u.
Calculated volume = 155.8 Å³ per cell
E_tot = -20.0 eV/cell

```
data_BaPRh2I
_cell_length_a 4.8955
_cell_length_b 6.5003
_cell_length_c 4.8955
_cell_angle_alpha 90.00
_cell_angle_beta 90.00
_cell_angle_gamma 90.00
_space_group_name_H-M_alt 'P 1'
_space_group_IT_number 1
loop_
_space_group_symop_operation_xyz
'x,y,z'
loop_
_atom_site_label
_atom_site_fract_x
_atom_site_fract_y
_atom_site_fract_z
I1 0.0000 0.0000 0.0000
Ba1 0.0000 0.5000 0.0000
Rh1 0.5000 0.0000 0.0000
Rh2 0.0000 0.0000 0.5000
P1 0.5000 0.5000 0.5000
```